Record 1
Below is crystalline Tl8S3I2 at its relaxed geometry, with properties calculated at the PBE level.

a = 7.396 Å, b = 8.441 Å, c = 9.366 Å
α = 116.78°, β = 75.49°, γ = 90.00°
Sites, in units of the cell vectors:
I  0.094  0.247  0.493
Tl  0.719  0.164  0.803
Tl  0.281  0.361  0.197
Tl  0.719  0.639  0.803
Tl  0.763  0.108  0.216
S  0.000  0.750  0.000
S  0.500  0.000  0.000
Tl  0.237  0.892  0.784
S  0.000  0.250  0.000
Tl  0.281  0.836  0.197
Tl  0.746  0.589  0.178
Tl  0.254  0.411  0.822
I  0.906  0.753  0.507

Calculated values
As for the uncorrected energy: -39.6 eV per cell. Its symmetry is No. 12. The density comes out at 6.579 g/cm3. As for the spin magnetization: 0.00 μB per atom. The value obtained for the uncorrected formation energy is -0.4021 eV per atom.

***

Record 2
Below is crystalline CsCaCr3 at its relaxed geometry, with properties calculated at the PBE level.

a = 5.206 Å, b = 5.206 Å, c = 5.206 Å
α = 90.00°, β = 90.00°, γ = 90.00°
Site moments in Bohr magnetons follow the coordinates.
Sites, in units of the cell vectors:
Cr  0.500  0.000  0.000  3.55
Cs  0.000  0.000  0.000  0.03
Cr  0.000  0.000  0.500  3.38
Cr  0.000  0.500  0.000  3.57
Ca  0.500  0.500  0.500  -0.05

Calculated values
As for the uncorrected energy: -20.9 eV per cell. Its symmetry is No. 221. The density comes out at 3.871 g/cm3. As for the spin magnetization: 2.19 μB per atom. For the energy relative to the elements, the calculation gives 2.17 eV per atom.